1.
A relaxed MgSiAg4 crystal, computed with PBE-GGA.

The space group is F-43m (No. 216) and the conventional cell measures 7.7316, 7.7316 and 7.7316 Å, with angles of 90.00, 90.00 and 90.00 degrees. The asymmetric unit holds Mg at (0.0000, 0.0000, 0.0000), Si at (0.2500, 0.2500, 0.7500) and Ag at (0.1251, 0.1251, 0.3749).

Its raw formation energy is 1.2 eV/f.u. For the magnetization, the calculation gives 0.00 μB per atom.

2.
A relaxed Ho2Zn3Ga crystal, computed with PBE-GGA.

The space group is Imm2 (No. 44) and the conventional cell measures 3.9181, 4.1983 and 15.1943 Å, with angles of 90.00, 90.00 and 90.00 degrees. The asymmetric unit holds Ho at (0.0000, 0.0000, 0.0000), Ho at (0.0000, 0.5000, 0.2486), Zn at (0.0000, 0.0000, 0.4200), Zn at (0.0000, 0.5000, 0.6658), Zn at (0.0000, 0.5000, 0.8278) and Ga at (0.0000, 0.0000, 0.5830).

Its energy of formation is -385 meV per atom. For the magnetization, the calculation gives 0.00 μB per atom.

3.
A relaxed In2HgAs2 crystal, computed with PBE-GGA.

The space group is P4/mbm (No. 127) and the conventional cell measures 8.0627, 8.0627 and 3.7117 Å, with angles of 90.00, 90.00 and 90.00 degrees. The asymmetric unit holds In at (0.1470, 0.3530, 0.0000), Hg at (0.0000, 0.0000, 0.5000) and As at (0.1548, 0.6548, 0.5000).

Its energy of formation is 122 meV per atom. For the magnetization, the calculation gives 0.00 μB per atom.

4.
A relaxed Na3H4Pt2 crystal, computed with PBE-GGA.

The space group is P-1 (No. 2) and the conventional cell measures 5.9149, 6.5455 and 6.5736 Å, with angles of 92.16, 90.37 and 90.27 degrees. The asymmetric unit holds Na at (0.1004, 0.0434, 0.2643), Na at (0.2500, 0.5592, 0.3846), Na at (0.3975, 0.7459, 0.9373), H at (0.0096, 0.6167, 0.8672), H at (0.2522, 0.1109, 0.8849), H at (0.2976, 0.3763, 0.6763), H at (0.4734, 0.8634, 0.6005), Pt at (0.1298, 0.3548, 0.9045) and Pt at (0.3854, 0.1228, 0.6373).

The total DFT energy (no corrections) comes out at -64.6 eV for the cell shown. For the magnetization, the calculation gives 0.00 μB per atom.

5.
A relaxed Zr2CdPdN crystal, computed with PBE-GGA.

The space group is P4/mmm (No. 123) and the conventional cell measures 5.3485, 5.3485 and 3.8485 Å, with angles of 90.00, 90.00 and 90.00 degrees. The asymmetric unit holds Zr at (0.0000, 0.5000, 0.0000), Cd at (0.0000, 0.0000, 0.0000), Pd at (0.5000, 0.5000, 0.5000) and N at (0.0000, 0.0000, 0.5000).

Its raw formation energy is 6.9 eV/f.u. For the magnetization, the calculation gives 0.00 μB per atom.

6.
A relaxed YHfI3 crystal, computed with PBE-GGA.

The space group is Pm-3m (No. 221) and the conventional cell measures 5.6321, 5.6321 and 5.6321 Å, with angles of 90.00, 90.00 and 90.00 degrees. The asymmetric unit holds Y at (0.0000, 0.0000, 0.0000), Hf at (0.5000, 0.5000, 0.5000) and I at (0.0000, 0.5000, 0.5000).

Its raw formation energy is 0.5 eV/f.u. For the magnetization, the calculation gives 0.33 μB per atom.

Q: What is the magnetization in the third record?
A: 0.00 μB per atom

Q: What is the formula in the fourth record?
A: Na3H4Pt2